Entry 1:
Crystalline Mn5Hg3Se12 at its relaxed geometry. Source: Alexandria, functional PBE.

abc: 13.527 13.527 13.527
angles: 109.47 109.47 109.47
Positions (direct):
Mn: 0.000 0.000 0.000
Mn: 0.000 0.000 0.500
Mn: 0.000 0.500 0.000
Mn: 0.000 0.500 0.500
Mn: 0.125 0.750 0.875
Mn: 0.125 0.875 0.250
Mn: 0.250 0.125 0.875
Mn: 0.250 0.625 0.375
Mn: 0.375 0.250 0.625
Mn: 0.375 0.625 0.750
Mn: 0.500 0.000 0.000
Mn: 0.500 0.000 0.500
Mn: 0.500 0.500 0.000
Mn: 0.500 0.500 0.500
Mn: 0.625 0.375 0.250
Mn: 0.625 0.750 0.375
Mn: 0.750 0.375 0.625
Mn: 0.750 0.875 0.125
Mn: 0.875 0.125 0.750
Mn: 0.875 0.250 0.125
Hg: 0.125 0.250 0.375
Hg: 0.125 0.375 0.750
Hg: 0.250 0.375 0.125
Hg: 0.250 0.875 0.625
Hg: 0.375 0.125 0.250
Hg: 0.375 0.750 0.125
Hg: 0.625 0.250 0.875
Hg: 0.625 0.875 0.750
Hg: 0.750 0.125 0.375
Hg: 0.750 0.625 0.875
Hg: 0.875 0.625 0.250
Hg: 0.875 0.750 0.625
Se: 0.025 0.203 0.116
Se: 0.025 0.323 0.909
Se: 0.087 0.703 0.677
Se: 0.087 0.884 0.409
Se: 0.091 0.616 0.413
Se: 0.091 0.975 0.677
Se: 0.116 0.025 0.203
Se: 0.116 0.591 0.913
Se: 0.177 0.203 0.587
Se: 0.177 0.475 0.591
Se: 0.203 0.116 0.025
Se: 0.203 0.587 0.177
Se: 0.297 0.323 0.913
Se: 0.297 0.475 0.384
Se: 0.323 0.909 0.025
Se: 0.323 0.913 0.297
Se: 0.384 0.297 0.475
Se: 0.384 0.587 0.909
Se: 0.409 0.087 0.884
Se: 0.409 0.823 0.525
Se: 0.413 0.091 0.616
Se: 0.413 0.823 0.797
Se: 0.475 0.384 0.297
Se: 0.475 0.591 0.177
Se: 0.525 0.409 0.823
Se: 0.525 0.616 0.703
Se: 0.587 0.177 0.203
Se: 0.587 0.909 0.384
Se: 0.591 0.177 0.475
Se: 0.591 0.913 0.116
Se: 0.616 0.413 0.091
Se: 0.616 0.703 0.525
Se: 0.677 0.087 0.703
Se: 0.677 0.091 0.975
Se: 0.703 0.525 0.616
Se: 0.703 0.677 0.087
Se: 0.797 0.413 0.823
Se: 0.797 0.884 0.975
Se: 0.823 0.525 0.409
Se: 0.823 0.797 0.413
Se: 0.884 0.409 0.087
Se: 0.884 0.975 0.797
Se: 0.909 0.025 0.323
Se: 0.909 0.384 0.587
Se: 0.913 0.116 0.591
Se: 0.913 0.297 0.323
Se: 0.975 0.677 0.091
Se: 0.975 0.797 0.884

DOS(E_F) ... 0.69 states/eV/atom
Formation energy without anion corrections ... -12 kJ per mole of atoms

---

Entry 2:
Crystalline LiTiTe2O6 at its relaxed geometry. Source: Alexandria, functional PBE.

abc: 8.318 8.318 5.265
angles: 106.04 106.04 69.48
Positions (direct):
Li: 0.037 0.963 0.750
Li: 0.963 0.037 0.250
Ti: 0.257 0.743 0.250
Ti: 0.743 0.257 0.750
Te: 0.104 0.390 0.240
Te: 0.390 0.104 0.740
Te: 0.610 0.896 0.260
Te: 0.896 0.610 0.760
O: 0.069 0.800 0.982
O: 0.192 0.283 0.582
O: 0.200 0.931 0.518
O: 0.257 0.540 0.333
O: 0.283 0.192 0.082
O: 0.460 0.743 0.167
O: 0.540 0.257 0.833
O: 0.717 0.808 0.918
O: 0.743 0.460 0.667
O: 0.800 0.069 0.482
O: 0.808 0.717 0.418
O: 0.931 0.200 0.018

DOS(E_F) ... 0.16 states/eV/atom
Formation energy without anion corrections ... -156 kJ per mole of atoms

---

Entry 3:
Crystalline Ca2NiSn2Rh at its relaxed geometry. Source: Alexandria, functional PBE.

abc: 8.253 8.253 8.253
angles: 134.37 66.22 134.74
Positions (direct):
Ca: 0.155 0.241 0.396
Ca: 0.345 0.741 0.086
Ca: 0.655 0.259 0.914
Ca: 0.845 0.759 0.604
Ni: 0.250 0.750 0.500
Ni: 0.750 0.250 0.500
Sn: 0.101 0.735 0.836
Sn: 0.399 0.235 0.634
Sn: 0.601 0.765 0.366
Sn: 0.899 0.265 0.164
Rh: 0.250 0.250 0.000
Rh: 0.750 0.750 0.000

ΔH_f (0 K) ... -3.42 eV per formula unit
DOS(E_F) ... 0.79 states/eV/atom

---

Entry 4:
Crystalline MgCdAsO4 at its relaxed geometry. Source: Alexandria, functional PBE.

abc: 6.260 6.260 6.260
angles: 119.60 119.13 91.11
Positions (direct):
Mg: 0.500 0.000 0.000
Mg: 0.500 0.500 0.500
Cd: 0.000 0.000 0.000
Cd: 0.500 0.000 0.500
As: 0.118 0.368 0.750
As: 0.882 0.632 0.250
O: 0.246 0.271 0.525
O: 0.246 0.720 0.975
O: 0.268 0.743 0.525
O: 0.281 0.257 0.025
O: 0.719 0.743 0.975
O: 0.732 0.257 0.475
O: 0.754 0.280 0.025
O: 0.754 0.729 0.475

DOS(E_F) ... 0.26 states/eV/atom
Formation energy without anion corrections ... -140 kJ per mole of atoms

---

Entry 5:
Crystalline MnH3Se at its relaxed geometry. Source: Alexandria, functional PBE.

abc: 3.395 3.395 3.395
angles: 90.00 90.00 90.00
Positions (direct):
Mn: 0.000 0.000 0.000
H: 0.000 0.000 0.500
H: 0.000 0.500 0.000
H: 0.500 0.000 0.000
Se: 0.500 0.500 0.500

DOS(E_F) ... 0.21 states/eV/atom
Energy above the lowest structure with this stoichiometry ... 0.0 meV/atom

---

Entry 6:
Crystalline BeNb2Cd2 at its relaxed geometry. Source: Alexandria, functional PBE.

abc: 3.670 3.670 15.210
angles: 90.00 90.00 90.00
Positions (direct):
Be: 0.000 0.000 0.000
Be: 0.500 0.500 0.500
Nb: 0.000 0.500 0.250
Nb: 0.000 0.500 0.750
Nb: 0.500 0.000 0.250
Nb: 0.500 0.000 0.750
Cd: 0.000 0.000 0.410
Cd: 0.000 0.000 0.590
Cd: 0.500 0.500 0.090
Cd: 0.500 0.500 0.910

ΔH_f (0 K) ... 3.80 eV per formula unit
DOS(E_F) ... 0.79 states/eV/atom
Energy above the lowest structure with this stoichiometry ... 194.3 meV/atom

---

Entry 7:
Crystalline SbTeRu2 at its relaxed geometry. Source: Alexandria, functional PBE.

abc: 3.136 4.427 12.735
angles: 90.00 90.00 90.00
Positions (direct):
Sb: 0.000 0.000 0.000
Sb: 0.500 0.500 0.500
Te: 0.000 0.500 0.216
Te: 0.500 0.000 0.716
Ru: 0.000 0.000 0.542
Ru: 0.000 0.500 0.680
Ru: 0.500 0.000 0.180
Ru: 0.500 0.500 0.042

DOS(E_F) ... 0.82 states/eV/atom
Formation energy without anion corrections ... 27 kJ per mole of atoms

---

Entry 8:
Crystalline SrHg2Cl at its relaxed geometry. Source: Alexandria, functional PBE.

abc: 4.373 5.652 10.053
angles: 90.00 90.00 90.00
Positions (direct):
Sr: 0.000 0.000 0.000
Sr: 0.500 0.500 0.500
Hg: 0.000 0.000 0.475
Hg: 0.000 0.500 0.229
Hg: 0.500 0.000 0.729
Hg: 0.500 0.500 0.975
Cl: 0.000 0.500 0.686
Cl: 0.500 0.000 0.186

DOS(E_F) ... 0.55 states/eV/atom
Formation energy without anion corrections ... -84 kJ per mole of atoms
Energy above the lowest structure with this stoichiometry ... 63.4 meV/atom

---

Entry 9:
Crystalline RbRe at its relaxed geometry. Source: Alexandria, functional PBE.

abc: 8.795 8.029 5.811
angles: 77.07 62.84 40.09
Positions (direct):
Rb: 0.034 0.716 0.034
Rb: 0.284 0.966 0.284
Rb: 0.716 0.034 0.716
Rb: 0.966 0.284 0.966
Re: 0.299 0.299 0.451
Re: 0.451 0.451 0.299
Re: 0.549 0.549 0.701
Re: 0.701 0.701 0.549

ΔH_f (0 K) ... 3.54 eV per formula unit
DOS(E_F) ... 1.20 states/eV/atom
Energy above the lowest structure with this stoichiometry ... 1052.6 meV/atom

---

no.,E_tot (eV/atom)
1,-4.5570
2,-6.2033
3,-4.7598
4,-5.3070
5,-3.9467
6,-4.3793
7,-6.1690
8,-1.9039
9,-4.9382